Record 1
# LiAg5Au5 GGA-PBE relaxed
# Formation enthalpy at 0 K = -0.0620 eV per atom
# Spin magnetization = 0.0 μB per formula unit
# DFT total energy = -3.02 eV per atom
data_LiAg5Au5
_cell_length_a 5.309
_cell_length_b 5.447
_cell_length_c 7.175
_cell_angle_alpha 100.51
_cell_angle_beta 95.89
_cell_angle_gamma 95.97
_space_group_name_H-M_alt 'P -1'
_space_group_IT_number 2
loop_
_space_group_symop_operation_xyz
'x,y,z'
'-x,-y,-z'
loop_
_atom_site_label
_atom_site_type_symbol
_atom_site_fract_x
_atom_site_fract_y
_atom_site_fract_z
Li1 Li 0.000 0.000 0.000
Ag1 Ag 0.000 0.500 0.000
Ag2 Ag 0.059 0.222 0.635
Ag3 Ag 0.481 0.233 0.917
Au1 Au 0.212 0.751 0.727
Au2 Au 0.319 0.431 0.327
Au3 Au 0.500 0.000 0.500

Record 2
# BaGd2Er GGA-PBE relaxed
# Formation enthalpy at 0 K = 0.1416 eV per atom
# ΔE to the lowest computed polymorph = 0.000 eV per atom
# Spin magnetization = 15.2 μB per formula unit
# DFT total energy = -8.52 eV per atom
data_BaGd2Er
_cell_length_a 3.718
_cell_length_b 3.718
_cell_length_c 10.741
_cell_angle_alpha 90.00
_cell_angle_beta 90.00
_cell_angle_gamma 90.00
_space_group_name_H-M_alt 'P 4/m m m'
_space_group_IT_number 123
_space_group_name_Hall '-P 4 2'
loop_
_atom_site_label
_atom_site_type_symbol
_atom_site_fract_x
_atom_site_fract_y
_atom_site_fract_z
Ba1 Ba 0.000 0.000 0.000
Gd1 Gd 0.500 0.500 0.286
Er1 Er 0.000 0.000 0.500

Record 3
# Ac5Nd5Y2 GGA-PBE relaxed
# Formation enthalpy at 0 K = 0.1046 eV per atom
# Spin magnetization = 0.0 μB per formula unit
# DFT total energy = -4.67 eV per atom
data_Ac5Nd5Y2
_cell_length_a 17.284
_cell_length_b 6.155
_cell_length_c 10.093
_cell_angle_alpha 90.00
_cell_angle_beta 120.40
_cell_angle_gamma 90.00
_space_group_name_H-M_alt 'C 1 2/m 1'
_space_group_IT_number 12
loop_
_space_group_symop_operation_xyz
'x,y,z'
'-x,-y,-z'
'-x,y,-z'
'x,-y,z'
'x+1/2,y+1/2,z'
'-x+1/2,-y+1/2,-z'
'-x+1/2,y+1/2,-z'
'x+1/2,-y+1/2,z'
loop_
_atom_site_label
_atom_site_type_symbol
_atom_site_fract_x
_atom_site_fract_y
_atom_site_fract_z
Ac1 Ac 0.000 0.000 0.000
Ac2 Ac 0.178 0.000 0.852
Ac3 Ac 0.237 0.500 0.692
Nd1 Nd 0.000 0.500 0.500
Nd2 Nd 0.075 0.500 0.871
Nd3 Nd 0.149 0.500 0.283
Y1 Y 0.086 0.000 0.423

Record 4
# MgAlSn2 GGA-PBE relaxed
# Formation enthalpy at 0 K = 0.0594 eV per atom
# Spin magnetization = 0.0 μB per formula unit
# DFT total energy = -3.28 eV per atom
data_MgAlSn2
_cell_length_a 7.207
_cell_length_b 7.207
_cell_length_c 7.207
_cell_angle_alpha 90.00
_cell_angle_beta 90.00
_cell_angle_gamma 90.00
_space_group_name_H-M_alt 'F m -3 m'
_space_group_IT_number 225
_space_group_name_Hall '-F 4 2 3'
loop_
_atom_site_label
_atom_site_type_symbol
_atom_site_fract_x
_atom_site_fract_y
_atom_site_fract_z
Mg1 Mg 0.000 0.000 0.000
Al1 Al 0.000 0.000 0.500
Sn1 Sn 0.250 0.250 0.250

Record 5
# ScSiNiPd GGA-PBE relaxed
# Uncorrected formation energy = -672 meV/atom
# Spin magnetization = 0.0 μB per formula unit
# DFT total energy = -6.35 eV per atom
data_ScSiNiPd
_cell_length_a 6.151
_cell_length_b 6.151
_cell_length_c 6.151
_cell_angle_alpha 90.00
_cell_angle_beta 90.00
_cell_angle_gamma 90.00
_space_group_name_H-M_alt 'F -4 3 m'
_space_group_IT_number 216
_space_group_name_Hall 'F -4 2 3'
loop_
_atom_site_label
_atom_site_type_symbol
_atom_site_fract_x
_atom_site_fract_y
_atom_site_fract_z
Sc1 Sc 0.000 0.000 0.000
Si1 Si 0.000 0.000 0.500
Ni1 Ni 0.250 0.250 0.250
Pd1 Pd 0.250 0.250 0.750

Record 6
# NaGaOsO6 GGA-PBE relaxed
# Uncorrected formation energy = -1227 meV/atom
# Spin magnetization = 0.0 μB per formula unit
# DFT total energy = -6.26 eV per atom
data_NaGaOsO6
_cell_length_a 5.1928
_cell_length_b 5.1928
_cell_length_c 10.3262
_cell_angle_alpha 90.00
_cell_angle_beta 90.00
_cell_angle_gamma 120.00
_space_group_name_H-M_alt 'P -3 1 c'
_space_group_IT_number 163
_space_group_name_Hall '-P 3 2c'
loop_
_atom_site_label
_atom_site_type_symbol
_atom_site_fract_x
_atom_site_fract_y
_atom_site_fract_z
Na1 Na 0.0000 0.0000 0.0000
Ga1 Ga 0.3333 0.6667 0.2500
Os1 Os 0.3333 0.6667 0.7500
O1 O 0.0175 0.3926 0.6464